Co2NiAg: relaxed, GGA-PBEsol.

Cell and atoms, written as CIF:
```
data_Co2NiAg
_chemical_formula_sum 'Co4 Ni2 Ag2'
_space_group_name_H-M_alt 'I -4 m 2'
_space_group_IT_number 119
_space_group_name_Hall 'I -4 -2'
_cell_length_a 3.659
_cell_length_b 3.659
_cell_length_c 7.130
_cell_angle_alpha 90.00
_cell_angle_beta 90.00
_cell_angle_gamma 90.00
loop_
_atom_site_label
_atom_site_type_symbol
_atom_site_fract_x
_atom_site_fract_y
_atom_site_fract_z
_atom_site_occupancy
Co1 Co 0.000 0.000 0.000 1
Co2 Co 0.000 0.500 0.250 1
Ni1 Ni 0.000 0.000 0.500 1
Ag1 Ag 0.000 0.500 0.750 1
```

Energy above the most stable polymorph in this dataset ... 11.15 kJ/mol of atoms
Total moment ... 7.8 μB per cell
Mass density ... 9.89 g/cm³
Fermi-level density of states ... 1.241 states/eV per atom


CoNiAg2: relaxed, GGA-PBEsol.

Cell and atoms, written as CIF:
```
data_CoNiAg2
_chemical_formula_sum 'Co2 Ni2 Ag4'
_space_group_name_H-M_alt 'I m m 2'
_space_group_IT_number 44
_space_group_name_Hall 'I 2 -2'
_cell_length_a 2.747
_cell_length_b 4.464
_cell_length_c 8.900
_cell_angle_alpha 90.00
_cell_angle_beta 90.00
_cell_angle_gamma 90.00
loop_
_atom_site_label
_atom_site_type_symbol
_atom_site_fract_x
_atom_site_fract_y
_atom_site_fract_z
_atom_site_occupancy
Co1 Co 0.000 0.000 0.000 1
Ni1 Ni 0.000 0.500 0.290 1
Ag1 Ag 0.000 0.000 0.536 1
Ag2 Ag 0.000 0.500 0.759 1
```

Energy above the most stable polymorph in this dataset ... 0.00 kJ/mol of atoms
Total moment ... 4.5 μB per cell
Mass density ... 10.15 g/cm³
Fermi-level density of states ... 1.084 states/eV per atom


For the records above, the corresponding DFT formation energy values read 315 347 meV/atom.